The following is a DFT calculation (PBE-GGA) of Cs2CaCrI6 after structural relaxation.

```
10
Lattice="8.410 0.000 0.000 -4.205 7.284 0.000 0.000 0.000 7.334" Properties=species:S:1:pos:R:3 pbc="T T T"
Cs 0.000 4.856 1.658
Cs 4.205 2.428 5.676
Ca 0.000 0.000 3.667
Cr 0.000 0.000 0.000
I 0.000 2.383 5.660
I -2.141 6.092 5.660
I 2.064 1.192 1.674
I 2.141 6.092 5.660
I 6.347 1.192 1.674
I 4.205 4.901 1.674
```

Output
**Formation energy (no corrections)**: -1.19 eV/atom
**Spin magnetization**: 4.00 Bohr magnetons per cell
**Crystal system**: trigonal
**Space group**: P-3m1, No. 164
**Relative energy among the computed polymorphs**: 0 meV per atom

=====

The following is a DFT calculation (PBE-GGA) of Ce3HIr8 after structural relaxation.

```
12
Lattice="2.684 1.549 8.746 -2.684 1.549 8.746 0.000 -3.099 8.746" Properties=species:S:1:pos:R:3 pbc="T T T"
Ce 0.000 0.000 0.000
Ce 0.000 0.000 3.430
Ce 0.000 0.000 15.912
H 0.000 0.000 11.274
Ir -1.373 -0.793 10.290
Ir 0.000 -1.567 5.953
Ir -1.357 0.783 5.953
Ir 0.000 0.000 8.128
Ir 1.373 -0.793 10.290
Ir 0.000 1.586 10.290
Ir 1.357 0.783 5.953
Ir 0.000 0.000 21.269
```

Output
**Spin magnetization**: 0.00 Bohr magnetons per cell
**Crystal system**: trigonal
**Space group**: R3m, No. 160
**DFT total energy**: -8.20 eV per atom

=====

The following is a DFT calculation (PBE-GGA) of Mg3P2O8 after structural relaxation.

```
26
Lattice="5.983 0.000 0.000 0.000 4.791 0.000 -0.056 0.000 10.329" Properties=species:S:1:pos:R:3 pbc="T T T"
Mg 0.000 0.000 0.000
Mg -0.028 2.396 5.165
Mg 1.528 0.055 7.455
Mg 1.556 2.341 2.290
Mg 4.372 2.450 8.039
Mg 4.400 4.736 2.874
P 1.401 2.750 9.317
P 1.428 4.437 4.153
P 4.499 0.354 6.176
P 4.527 2.041 1.012
O 0.148 3.498 8.663
O 0.176 3.689 3.499
O 1.311 1.179 4.075
O 1.284 1.217 9.240
O 1.453 3.283 0.444
O 1.425 3.903 5.609
O 2.581 3.295 8.485
O 2.609 3.892 3.320
O 3.318 0.899 7.009
O 3.346 1.496 1.844
O 4.502 0.888 4.720
O 4.475 1.508 9.885
O 4.644 3.574 1.089
O 4.616 3.612 6.254
O 5.751 1.102 6.830
O 5.779 1.293 1.666
```

Output
**Formation energy (no corrections)**: -2.62 eV/atom
**Spin magnetization**: 0.00 Bohr magnetons per cell
**Crystal system**: monoclinic
**Space group**: P2_1/c, No. 14
**Relative energy among the computed polymorphs**: 14 meV per atom

=====

The following is a DFT calculation (PBE-GGA) of KAlRu2 after structural relaxation.

```
8
Lattice="2.749 0.000 0.000 0.000 5.229 0.000 0.000 0.000 9.884" Properties=species:S:1:pos:R:3 pbc="T T T"
K 0.000 0.000 0.000
K 1.374 2.615 4.942
Al 0.000 0.000 4.942
Al 1.374 2.615 0.000
Ru 0.000 2.615 2.105
Ru 0.000 2.615 7.779
Ru 1.374 0.000 2.837
Ru 1.374 0.000 7.047
```

Output
**Spin magnetization**: 0.00 Bohr magnetons per cell
**Crystal system**: orthorhombic
**Space group**: Immm, No. 71
**ΔH_f (0 K)**: 0.67 eV/atom

=====

The following is a DFT calculation (PBE-GGA) of In2GaPtPb after structural relaxation.

```
5
Lattice="5.705 0.000 0.000 0.000 5.705 0.000 0.000 0.000 5.361" Properties=species:S:1:pos:R:3 pbc="T T T"
In 0.000 2.852 0.000
In 2.852 0.000 0.000
Ga 0.000 0.000 2.681
Pt 2.852 2.852 2.681
Pb 0.000 0.000 0.000
```

Output
**Spin magnetization**: 0.00 Bohr magnetons per cell
**Crystal system**: tetragonal
**Space group**: P4/mmm, No. 123
**Relative energy among the computed polymorphs**: 1058 meV per atom
**ΔH_f (0 K)**: 0.95 eV/atom

=====

The following is a DFT calculation (PBE-GGA) of Tb4Tm8Th after structural relaxation.

```
13
Lattice="5.442 3.142 4.434 -5.442 3.142 4.434 0.000 -6.284 4.434" Properties=species:S:1:pos:R:3 pbc="T T T"
Tb 0.000 0.000 0.000
Tb -2.721 -1.571 4.434
Tb -2.721 1.571 8.867
Tb 0.000 3.142 4.434
Tm 0.000 -3.255 5.495
Tm -2.819 1.628 5.495
Tm 0.000 0.000 3.201
Tm -2.819 -1.628 7.806
Tm 2.819 1.628 5.495
Tm 0.000 0.000 10.099
Tm 2.819 -1.628 7.806
Tm 0.000 3.255 7.806
Th 0.000 0.000 6.650
```

Output
**Spin magnetization**: 1.72 Bohr magnetons per cell
**Crystal system**: trigonal
**Space group**: R-3m, No. 166
**ΔH_f (0 K)**: 0.52 eV/atom

=====

The following is a DFT calculation (PBE-GGA) of SmBeIr after structural relaxation.

```
6
Lattice="4.049 0.000 0.000 0.000 4.024 0.000 -0.008 0.000 6.696" Properties=species:S:1:pos:R:3 pbc="T T T"
Sm 1.012 1.006 1.157
Sm 3.029 3.018 5.539
Be 1.007 3.018 3.334
Be 3.034 1.006 3.362
Ir 1.008 1.006 4.614
Ir 3.033 3.018 2.081
```

Output
**Spin magnetization**: 0.00 Bohr magnetons per cell
**Crystal system**: monoclinic
**Space group**: P2_1/m, No. 11
**Relative energy among the computed polymorphs**: 23 meV per atom
**ΔH_f (0 K)**: -0.58 eV/atom

=====

The following is a DFT calculation (PBE-GGA) of HfSb2TeCl after structural relaxation.

```
5
Lattice="5.535 0.000 0.000 0.000 5.535 0.000 0.000 0.000 5.420" Properties=species:S:1:pos:R:3 pbc="T T T"
Hf 0.000 0.000 0.000
Sb 0.000 2.768 0.000
Sb 2.768 0.000 0.000
Te 0.000 0.000 2.710
Cl 2.768 2.768 2.710
```

Output
**Formation energy (no corrections)**: 0.02 eV/atom
**Spin magnetization**: 0.00 Bohr magnetons per cell
**Crystal system**: tetragonal
**Space group**: P4/mmm, No. 123
**Relative energy among the computed polymorphs**: 0 meV per atom